P | # LaMg6Al

An optimized crystal structure of LaMg6Al (PBE, Alexandria via LeMat-Bulk).

Results
* SG: No. 38

Structure (POSCAR):
```
LaMg6Al
1.0
4.811 0.000 0.000
0.000 6.220 0.000
0.000 0.000 13.362
La Mg Al
2 12 2
Cartesian
0.000 0.000 0.000 La
0.000 3.110 6.681 La
0.000 0.000 5.715 Mg
0.000 1.514 9.678 Mg
0.000 1.596 2.997 Mg
0.000 3.110 12.396 Mg
0.000 4.624 2.997 Mg
0.000 4.706 9.678 Mg
2.405 0.000 7.821 Mg
2.405 1.519 11.461 Mg
2.405 1.591 4.779 Mg
2.405 3.110 1.140 Mg
2.405 4.629 4.779 Mg
2.405 4.701 11.461 Mg
2.405 0.000 2.172 Al
2.405 3.110 8.853 Al
```

***

Q | # LaMg6Al

An optimized crystal structure of LaMg6Al (PBE, Alexandria via LeMat-Bulk).

Results
* SG: No. 38

Structure (POSCAR):
```
LaMg6Al
1.0
4.858 0.000 0.000
0.000 6.113 0.000
0.000 0.000 13.546
La Mg Al
2 12 2
Cartesian
0.000 0.000 0.000 La
0.000 3.056 6.773 La
0.000 1.476 9.989 Mg
0.000 1.581 3.216 Mg
0.000 4.532 3.216 Mg
0.000 4.637 9.989 Mg
2.429 0.000 2.265 Mg
2.429 0.000 7.936 Mg
2.429 1.516 11.839 Mg
2.429 1.540 5.066 Mg
2.429 3.056 1.163 Mg
2.429 3.056 9.038 Mg
2.429 4.573 5.066 Mg
2.429 4.596 11.839 Mg
0.000 0.000 5.787 Al
0.000 3.056 12.560 Al
```

***

Least stable = P

***

P | # LaMgAlPd2

An optimized crystal structure of LaMgAlPd2 (PBE, Alexandria via LeMat-Bulk).

Results
* SG: No. 123

Structure (POSCAR):
```
LaMgAlPd2
1.0
4.840 0.000 0.000
0.000 4.840 0.000
0.000 0.000 4.873
La Mg Al Pd
1 1 1 2
Cartesian
0.000 0.000 0.000 La
2.420 2.420 2.437 Mg
2.420 2.420 0.000 Al
0.000 2.420 2.437 Pd
2.420 0.000 2.437 Pd
```

***

Q | # LaMgAlPd2

An optimized crystal structure of LaMgAlPd2 (PBE, Alexandria via LeMat-Bulk).

Results
* SG: No. 119

Structure (POSCAR):
```
LaMgAlPd2
1.0
4.233 0.000 0.000
0.000 4.233 0.000
0.000 0.000 11.649
La Mg Al Pd
2 2 2 4
Cartesian
0.000 0.000 0.000 La
2.116 2.116 5.824 La
0.000 2.116 8.737 Mg
2.116 0.000 2.912 Mg
0.000 2.116 2.912 Al
2.116 0.000 8.737 Al
0.000 0.000 4.452 Pd
0.000 0.000 7.197 Pd
2.116 2.116 1.373 Pd
2.116 2.116 10.276 Pd
```

***

Least stable = P